A plane-wave DFT calculation with SCAN was carried out for a crystal of Na3VSO3 relaxed with PBEsol.

Cell: 8.5264 8.5264 12.1306 Å, 90.00 90.00 120.00°
Space group R3c (No. 161, hexagonal axes)
One atom of each set of equivalent atoms:
Na 0.0004 0.3100 0.0000
V 0.0000 0.0000 0.2820
S 0.0000 0.0000 0.0989
O 0.0000 0.1889 0.8259

Formation energy without anion corrections, eV/f.u.: -16.84
V, Å³/atom: 15.91
M_tot, Bohr magnetons per cell: 0.0